(1)
CoTeW2 | PBE-GGA | optimized geometry

extended XYZ file:
```
4
Lattice="-8.3113 0.2351 2.5269 -7.2361 -1.7425 4.4856 -6.9883 1.1811 5.0286" Properties=species:S:1:pos:R:3 pbc="T T T"
W -11.4147 -0.1653 6.0990
W -22.3887 -0.3242 11.9626
Te -16.9017 -0.2447 9.0308
Co -5.6339 -0.0816 3.0103
```

VASP energy	-8.2606	eV/atom
size of the total moment	0.00	Bohr magnetons per cell
space group	R-3m (166)

=====

(2)
GdDyMgNi | PBE-GGA | optimized geometry

extended XYZ file:
```
4
Lattice="5.0747 0.0000 0.0000 2.5373 4.3948 0.0000 2.5373 1.4649 4.1435" Properties=species:S:1:pos:R:3 pbc="T T T"
Mg 5.0747 2.9299 2.0717
Gd 2.5373 1.4649 1.0359
Ni 0.0000 0.0000 0.0000
Dy 7.6120 4.3948 3.1076
```

formation energy	-0.420	eV/f.u.
VASP energy	-6.6199	eV/atom
size of the total moment	7.13	Bohr magnetons per cell
space group	F-43m (216)